CaMnO3: relaxed, PBE with a Hubbard U.

Computed properties:
calculated density: 4.35 g/cm3
magnetic moment: 11.9 μB/cell
final energy: -6.945 eV/atom

a = 5.4118 Å, b = 7.5662 Å, c = 5.3316 Å
α = 90.00°, β = 90.00°, γ = 90.00°
With the nearest neighbours (Å) after each atom.
Space group Pnma (No. 62)
Inequivalent atoms, fractional coordinates:
1 Ca 0.0468 0.2500 0.0098 (multiplicity 4)  6 O 2.32-2.56
2 Mn 0.0000 0.0000 0.5000 (multiplicity 4)  6 O 1.94-1.96
3 O 0.0197 0.7500 0.4201 (multiplicity 4)  2 Mn 1.94
4 O 0.2078 0.5414 0.7943 (multiplicity 8)  2 Mn 1.95-1.96